DFT (PBE) results for LiCuCl2 after structural relaxation.

```
LiCuCl2
1.0
-3.059 4.462 0.156
-1.525 0.126 5.191
1.011 3.247 2.489
Li Cl Cu
1 2 1
Cartesian
-0.257 1.686 3.840
-2.292 2.294 2.674
0.000 0.000 0.000
-1.024 3.854 1.322
```

Uncorrected formation energy ... -0.943 eV/atom
Raw total energy ... -3.3690 eV/atom